1.
CdIn2Se2S2 | OQMD | PBE-GGA | optimized geometry; symmetry = C2, No. 5; theoretical density = 4.75 g cm⁻³; crystal system = monoclinic; DFT total energy = -3.669 eV/atom
1.0
4.1165 -5.6721 0.0000
4.1165 5.6721 0.0000
-4.0566 0.0000 4.2194
Cd In Se S
1 2 2 2
Direct
0.0000 0.0000 0.0000 Cd
0.2568 0.7432 0.5000 In
0.5014 0.4986 0.0000 In
0.4223 0.1379 0.5063 Se
0.8621 0.5777 0.4937 Se
0.1175 0.3799 0.9853 S
0.6201 0.8825 0.0147 S

---

2.
ZnB2Mo3 | OQMD | PBE-GGA | optimized geometry; symmetry = P6_3/mmc, No. 194; M_tot = 0.01 μB per cell; theoretical density = 8.03 g cm⁻³; crystal system = hexagonal; DFT total energy = -8.034 eV/atom
1.0
3.1044 0.0000 0.0000
-1.5522 2.6885 0.0000
0.0000 0.0000 18.5765
Zn B Mo
2 4 6
Direct
0.0000 0.0000 0.2500 Zn
0.0000 0.0000 0.7500 Zn
0.3333 0.6667 0.0715 B
0.3333 0.6667 0.4285 B
0.6667 0.3333 0.5715 B
0.6667 0.3333 0.9285 B
0.0000 0.0000 0.0000 Mo
0.0000 0.0000 0.5000 Mo
0.3333 0.6667 0.6348 Mo
0.3333 0.6667 0.8652 Mo
0.6667 0.3333 0.1348 Mo
0.6667 0.3333 0.3652 Mo

---

3.
Ba2H8PtO8 | OQMD | PBE-GGA | optimized geometry; symmetry = Pbca, No. 61; M_tot = 0.00 μB per cell; theoretical density = 5.33 g cm⁻³; crystal system = orthorhombic; DFT total energy = -5.409 eV/atom
1.0
8.5685 0.0000 0.0000
0.0000 8.5912 0.0000
0.0000 0.0000 10.2606
Ba H Pt O
8 32 4 32
Direct
0.2134 0.2240 0.2248 Ba
0.2134 0.2760 0.7248 Ba
0.2866 0.7240 0.2248 Ba
0.2866 0.7760 0.7248 Ba
0.7134 0.2240 0.2752 Ba
0.7134 0.2760 0.7752 Ba
0.7866 0.7240 0.2752 Ba
0.7866 0.7760 0.7752 Ba
0.0064 0.5155 0.7577 H
0.0064 0.9845 0.2577 H
0.0291 0.0257 0.9111 H
0.0291 0.4743 0.4111 H
0.0297 0.7108 0.4906 H
0.0297 0.7892 0.9906 H
0.2117 0.5404 0.4860 H
0.2117 0.9596 0.9860 H
0.2883 0.0404 0.4860 H
0.2883 0.4596 0.9860 H
0.4703 0.2108 0.4906 H
0.4703 0.2892 0.9906 H
0.4709 0.5257 0.9111 H
0.4709 0.9743 0.4111 H
0.4936 0.0155 0.7577 H
0.4936 0.4845 0.2577 H
0.5064 0.5155 0.7423 H
0.5064 0.9845 0.2423 H
0.5291 0.0257 0.5889 H
0.5291 0.4743 0.0889 H
0.5297 0.7108 0.0094 H
0.5297 0.7892 0.5094 H
0.7117 0.5404 0.0140 H
0.7117 0.9596 0.5140 H
0.7883 0.0404 0.0140 H
0.7883 0.4596 0.5140 H
0.9703 0.2108 0.0094 H
0.9703 0.2892 0.5094 H
0.9709 0.5257 0.5889 H
0.9709 0.9743 0.0889 H
0.9936 0.0155 0.7423 H
0.9936 0.4845 0.2423 H
0.0000 0.0000 0.5000 Pt
0.0000 0.5000 0.0000 Pt
0.5000 0.0000 0.0000 Pt
0.5000 0.5000 0.5000 Pt
0.0001 0.2235 0.4325 O
0.0001 0.2765 0.9325 O
0.9999 0.7235 0.0675 O
0.9999 0.7765 0.5675 O
0.0689 0.5701 0.3719 O
0.0689 0.9299 0.8719 O
0.0707 0.5754 0.8227 O
0.0707 0.9246 0.3227 O
0.2224 0.0216 0.5649 O
0.2224 0.4784 0.0649 O
0.2776 0.5216 0.5649 O
0.2776 0.9784 0.0649 O
0.4293 0.0754 0.8227 O
0.4293 0.4246 0.3227 O
0.4311 0.0701 0.3719 O
0.4311 0.4299 0.8719 O
0.5001 0.2235 0.0675 O
0.5001 0.2765 0.5675 O
0.4999 0.7235 0.4325 O
0.4999 0.7765 0.9325 O
0.5689 0.5701 0.1281 O
0.5689 0.9299 0.6281 O
0.5707 0.5754 0.6773 O
0.5707 0.9246 0.1773 O
0.7224 0.0216 0.9351 O
0.7224 0.4784 0.4351 O
0.7776 0.5216 0.9351 O
0.7776 0.9784 0.4351 O
0.9293 0.0754 0.6773 O
0.9293 0.4246 0.1773 O
0.9311 0.0701 0.1281 O
0.9311 0.4299 0.6281 O

---

Question: DFT total energy of number 1 (CdIn2Se2S2)?
Answer: -3.669 eV/atom